Arrangement a

Compound: LuSc
Source: Alexandria via LeMat-Bulk
Functional: PBE
Structure: relaxed

The structure belongs to space group Pmmn (No. 59, origin choice 2); the cell edges are 3.4263, 5.3234 and 5.9076 Å and the angles 90.00°, 90.00° and 90.00°. The inequivalent atoms are Lu at (0.2500, 0.2500, 0.0866) and Sc at (0.2500, 0.7500, 0.4180).

Its magnetic moment is 0.000 μB per atom. The density of states at the Fermi level comes out at 1.9351 states/eV per atom.

***

Arrangement b

Compound: LuSc
Source: Alexandria via LeMat-Bulk
Functional: PBE
Structure: relaxed

The structure belongs to space group Pm-3m (No. 221); the cell edges are 3.7809, 3.7809 and 3.7809 Å and the angles 90.00°, 90.00° and 90.00°. The inequivalent atoms are Lu at (0.0000, 0.0000, 0.0000) and Sc at (0.5000, 0.5000, 0.5000).

Its magnetic moment is 0.000 μB per atom. The density of states at the Fermi level comes out at 2.0475 states/eV per atom.

***

Of them, arrangement b has the lowest stability.

***

Arrangement a

Compound: LuScSe
Source: Alexandria via LeMat-Bulk
Functional: PBE
Structure: relaxed

The structure belongs to space group I4mm (No. 107); the cell edges are 3.4864, 3.4864 and 11.2851 Å and the angles 90.00°, 90.00° and 90.00°. The inequivalent atoms are Lu at (0.0000, 0.0000, 0.0000), Sc at (0.0000, 0.0000, 0.3020) and Se at (0.0000, 0.0000, 0.6653).

Its magnetic moment is 0.000 μB per atom. The density of states at the Fermi level comes out at 1.0151 states/eV per atom.

***

Arrangement b

Compound: LuScSe
Source: Alexandria via LeMat-Bulk
Functional: PBE
Structure: relaxed

The structure belongs to space group P3m1 (No. 156); the cell edges are 3.7091, 3.7091 and 6.1498 Å and the angles 90.00°, 90.00° and 120.00°. The inequivalent atoms are Lu at (0.0000, 0.0000, 0.0000), Sc at (0.3333, 0.6667, 0.5697) and Se at (0.6667, 0.3333, 0.2997).

Its magnetic moment is 0.099 μB per atom. The density of states at the Fermi level comes out at 1.2460 states/eV per atom.

***

Of them, arrangement a has the lowest stability.

***

Arrangement a

Compound: SmLu2Sc
Source: Alexandria via LeMat-Bulk
Functional: PBE
Structure: relaxed

The structure belongs to space group P4/mmm (No. 123); the cell edges are 3.7940, 3.7940 and 8.2549 Å and the angles 90.00°, 90.00° and 90.00°. The inequivalent atoms are Sm at (0.0000, 0.0000, 0.0000), Lu at (0.5000, 0.5000, 0.2818) and Sc at (0.0000, 0.0000, 0.5000).

Its magnetic moment is 0.000 μB per atom. The density of states at the Fermi level comes out at 1.6789 states/eV per atom.

***

Arrangement b

Compound: SmLu2Sc
Source: Alexandria via LeMat-Bulk
Functional: PBE
Structure: relaxed

The structure belongs to space group P4/mmm (No. 123); the cell edges are 4.8636, 4.8636 and 4.9218 Å and the angles 90.00°, 90.00° and 90.00°. The inequivalent atoms are Sm at (0.0000, 0.0000, 0.0000), Lu at (0.0000, 0.5000, 0.5000) and Sc at (0.5000, 0.5000, 0.0000).

Its magnetic moment is 0.007 μB per atom. The density of states at the Fermi level comes out at 1.6957 states/eV per atom.

***

Of them, arrangement a has the lowest stability.

***

Arrangement a

Compound: Lu2ScSn
Source: Alexandria via LeMat-Bulk
Functional: PBE
Structure: relaxed

The structure belongs to space group P4/mmm (No. 123); the cell edges are 4.0101, 4.0101 and 6.4435 Å and the angles 90.00°, 90.00° and 90.00°. The inequivalent atoms are Lu at (0.0000, 0.0000, 0.2453), Sc at (0.5000, 0.5000, 0.5000) and Sn at (0.5000, 0.5000, 0.0000).

Its magnetic moment is 0.000 μB per atom. The density of states at the Fermi level comes out at 1.3884 states/eV per atom.

***

Arrangement b

Compound: Lu2ScSn
Source: Alexandria via LeMat-Bulk
Functional: PBE
Structure: relaxed

The structure belongs to space group P4/mmm (No. 123); the cell edges are 4.6631, 4.6631 and 4.6294 Å and the angles 90.00°, 90.00° and 90.00°. The inequivalent atoms are Lu at (0.0000, 0.5000, 0.0000), Sc at (0.0000, 0.0000, 0.5000) and Sn at (0.5000, 0.5000, 0.5000).

Its magnetic moment is 0.259 μB per atom. The density of states at the Fermi level comes out at 1.3519 states/eV per atom.

***

Arrangement c

Compound: Lu2ScSn
Source: Alexandria via LeMat-Bulk
Functional: PBE
Structure: relaxed

The structure belongs to space group R-3m (No. 166, hexagonal axes); the cell edges are 3.3607, 3.3607 and 33.9721 Å and the angles 90.00°, 90.00° and 120.00°. The inequivalent atoms are Lu at (0.0000, 0.0000, 0.0922), Sc at (0.0000, 0.0000, 0.0000) and Sn at (0.0000, 0.0000, 0.5000).

Its magnetic moment is 0.191 μB per atom. The density of states at the Fermi level comes out at 1.3745 states/eV per atom.

***

Of them, arrangement c has the lowest stability.

***

Arrangement a

Compound: LuSc2Tc
Source: Alexandria via LeMat-Bulk
Functional: PBE
Structure: relaxed

The structure belongs to space group Fm-3m (No. 225); the cell edges are 6.9096, 6.9096 and 6.9096 Å and the angles 90.00°, 90.00° and 90.00°. The inequivalent atoms are Lu at (0.0000, 0.0000, 0.0000), Sc at (0.2500, 0.2500, 0.2500) and Tc at (0.0000, 0.0000, 0.5000).

Its magnetic moment is 0.000 μB per atom. The density of states at the Fermi level comes out at 1.0541 states/eV per atom.

***

Arrangement b

Compound: LuSc2Tc
Source: Alexandria via LeMat-Bulk
Functional: PBE
Structure: relaxed

The structure belongs to space group R-3m (No. 166, hexagonal axes); the cell edges are 3.2316, 3.2316 and 30.8272 Å and the angles 90.00°, 90.00° and 120.00°. The inequivalent atoms are Lu at (0.0000, 0.0000, 0.0000), Sc at (0.0000, 0.0000, 0.1041) and Tc at (0.0000, 0.0000, 0.5000).

Its magnetic moment is 0.122 μB per atom. The density of states at the Fermi level comes out at 1.5328 states/eV per atom.

***

Of them, arrangement b has the lowest stability.

***

Arrangement a

Compound: LuScTe
Source: Alexandria via LeMat-Bulk
Functional: PBE
Structure: relaxed

The structure belongs to space group I4mm (No. 107); the cell edges are 3.7427, 3.7427 and 10.7515 Å and the angles 90.00°, 90.00° and 90.00°. The inequivalent atoms are Lu at (0.0000, 0.0000, 0.0000), Sc at (0.0000, 0.0000, 0.3210) and Te at (0.0000, 0.0000, 0.6776).

Its magnetic moment is 0.000 μB per atom. The density of states at the Fermi level comes out at 0.7181 states/eV per atom.

***

Arrangement b

Compound: LuScTe
Source: Alexandria via LeMat-Bulk
Functional: PBE
Structure: relaxed

The structure belongs to space group P3m1 (No. 156); the cell edges are 4.9283, 4.9283 and 3.8001 Å and the angles 90.00°, 90.00° and 120.00°. The inequivalent atoms are Lu at (0.0000, 0.0000, 0.0000), Sc at (0.3333, 0.6667, 0.5008) and Te at (0.6667, 0.3333, 0.6394).

Its magnetic moment is 0.000 μB per atom. The density of states at the Fermi level comes out at 1.0146 states/eV per atom.

***

Of them, arrangement b has the lowest stability.